No. 1
# CuTc2Ni, relaxed, DFT GGA-PBE
data_CuTc2Ni
_cell_length_a 5.967
_cell_length_b 5.967
_cell_length_c 5.967
_cell_angle_alpha 90.00
_cell_angle_beta 90.00
_cell_angle_gamma 90.00
_symmetry_space_group_name_H-M 'F -4 3 m'
_symmetry_Int_Tables_number 216
_symmetry_space_group_name_Hall 'F -4 2 3'
loop_
_atom_site_label
_atom_site_fract_x
_atom_site_fract_y
_atom_site_fract_z
Cu1 0.000 0.000 0.000
Tc1 0.000 0.000 0.500
Tc2 0.250 0.250 0.750
Ni1 0.250 0.250 0.250
# relative energy among the computed polymorphs: 148 meV/atom
# size of the total moment: 1.884 Bohr magnetons per cell
# energy relative to the elements: 248 meV per atom

---

No. 2
# CrIn2Tc, relaxed, DFT GGA-PBE
data_CrIn2Tc
_cell_length_a 3.020
_cell_length_b 3.020
_cell_length_c 8.093
_cell_angle_alpha 90.00
_cell_angle_beta 90.00
_cell_angle_gamma 90.00
_symmetry_space_group_name_H-M 'P 4 m m'
_symmetry_Int_Tables_number 99
loop_
_symmetry_equiv_pos_as_xyz
'x,y,z'
'-y,x,z'
'-x,-y,z'
'y,-x,z'
'-x,y,z'
'y,x,z'
'x,-y,z'
'-y,-x,z'
loop_
_atom_site_label
_atom_site_fract_x
_atom_site_fract_y
_atom_site_fract_z
Cr1 0.000 0.000 0.000
In1 0.000 0.000 0.593
In2 0.500 0.500 0.238
Tc1 0.500 0.500 0.843
# relative energy among the computed polymorphs: 0 meV/atom
# size of the total moment: 0.600 Bohr magnetons per cell
# energy relative to the elements: 192 meV per atom

---

No. 3
# KPt, relaxed, DFT GGA-PBE
data_KPt
_cell_length_a 11.876
_cell_length_b 2.876
_cell_length_c 9.742
_cell_angle_alpha 90.00
_cell_angle_beta 118.55
_cell_angle_gamma 90.00
_symmetry_space_group_name_H-M 'C 1 m 1'
_symmetry_Int_Tables_number 8
loop_
_symmetry_equiv_pos_as_xyz
'x,y,z'
'x,-y,z'
'x+1/2,y+1/2,z'
'x+1/2,-y+1/2,z'
loop_
_atom_site_label
_atom_site_fract_x
_atom_site_fract_y
_atom_site_fract_z
K1 0.000 0.000 0.000
K2 0.070 0.000 0.380
K3 0.412 0.000 0.609
Pt1 0.215 0.500 0.746
Pt2 0.256 0.000 0.000
Pt3 0.270 0.500 0.243
# size of the total moment: 0.000 Bohr magnetons per cell
# energy relative to the elements: 48 meV per atom

---

No. 4
# Pm2SmErTl4, relaxed, DFT GGA-PBE
data_Pm2SmErTl4
_cell_length_a 5.4398
_cell_length_b 5.4398
_cell_length_c 26.7202
_cell_angle_alpha 90.00
_cell_angle_beta 90.00
_cell_angle_gamma 120.00
_symmetry_space_group_name_H-M 'R -3 m'
_symmetry_Int_Tables_number 166
_symmetry_space_group_name_Hall '-R 3 2"'
loop_
_atom_site_label
_atom_site_fract_x
_atom_site_fract_y
_atom_site_fract_z
Pm1 0.0000 0.0000 0.2492
Sm1 0.0000 0.0000 0.0000
Er1 0.0000 0.0000 0.5000
Tl1 0.0000 0.0000 0.1259
Tl2 0.0000 0.0000 0.3760
# size of the total moment: 0.000 Bohr magnetons per cell
# energy relative to the elements: -363 meV per atom

---

No. 5
# YHg, relaxed, DFT GGA-PBE
data_YHg
_cell_length_a 5.997
_cell_length_b 5.997
_cell_length_c 5.997
_cell_angle_alpha 90.00
_cell_angle_beta 90.00
_cell_angle_gamma 90.00
_symmetry_space_group_name_H-M 'P 21 3'
_symmetry_Int_Tables_number 198
_symmetry_space_group_name_Hall 'P 2ac 2ab 3'
loop_
_atom_site_label
_atom_site_fract_x
_atom_site_fract_y
_atom_site_fract_z
Y1 0.074 0.074 0.074
Hg1 0.081 0.581 0.919
# size of the total moment: 0.000 Bohr magnetons per cell
# energy relative to the elements: -379 meV per atom

---

No. 6
# ZnRuNF2, relaxed, DFT GGA-PBE
data_ZnRuNF2
_cell_length_a 4.240
_cell_length_b 4.240
_cell_length_c 3.747
_cell_angle_alpha 90.00
_cell_angle_beta 90.00
_cell_angle_gamma 90.00
_symmetry_space_group_name_H-M 'P 4/m m m'
_symmetry_Int_Tables_number 123
_symmetry_space_group_name_Hall '-P 4 2'
loop_
_atom_site_label
_atom_site_fract_x
_atom_site_fract_y
_atom_site_fract_z
Zn1 0.000 0.000 0.000
Ru1 0.500 0.500 0.500
N1 0.500 0.500 0.000
F1 0.000 0.500 0.500
# relative energy among the computed polymorphs: 0 meV/atom
# size of the total moment: 0.000 Bohr magnetons per cell
# E_form (uncorrected): -0.36 eV per atom

---

No. 7
# POsN, relaxed, DFT GGA-PBE
data_POsN
_cell_length_a 2.778
_cell_length_b 4.273
_cell_length_c 2.872
_cell_angle_alpha 90.00
_cell_angle_beta 94.90
_cell_angle_gamma 90.00
_symmetry_space_group_name_H-M 'P 1 2 1'
_symmetry_Int_Tables_number 3
loop_
_symmetry_equiv_pos_as_xyz
'x,y,z'
'-x,y,-z'
loop_
_atom_site_label
_atom_site_fract_x
_atom_site_fract_y
_atom_site_fract_z
P1 0.000 0.000 0.000
Os1 0.500 0.344 0.500
N1 0.500 0.702 0.000
# relative energy among the computed polymorphs: 320 meV/atom
# size of the total moment: 0.000 Bohr magnetons per cell
# E_form (uncorrected): 0.44 eV per atom

---

No. 8
# Sr2TeRh, relaxed, DFT GGA-PBE
data_Sr2TeRh
_cell_length_a 3.965
_cell_length_b 4.018
_cell_length_c 7.136
_cell_angle_alpha 90.00
_cell_angle_beta 90.06
_cell_angle_gamma 90.00
_symmetry_space_group_name_H-M 'P 1 2/m 1'
_symmetry_Int_Tables_number 10
loop_
_symmetry_equiv_pos_as_xyz
'x,y,z'
'-x,-y,-z'
'-x,y,-z'
'x,-y,z'
loop_
_atom_site_label
_atom_site_fract_x
_atom_site_fract_y
_atom_site_fract_z
Sr1 0.001 0.000 0.262
Te1 0.500 0.500 0.000
Rh1 0.500 0.500 0.500
# size of the total moment: 0.000 Bohr magnetons per cell
# E_form (uncorrected): -0.67 eV per atom

---

No. 9
# Gd2DyY, relaxed, DFT GGA-PBE
data_Gd2DyY
_cell_length_a 5.044
_cell_length_b 5.044
_cell_length_c 5.046
_cell_angle_alpha 90.00
_cell_angle_beta 90.00
_cell_angle_gamma 90.00
_symmetry_space_group_name_H-M 'P 4/m m m'
_symmetry_Int_Tables_number 123
_symmetry_space_group_name_Hall '-P 4 2'
loop_
_atom_site_label
_atom_site_fract_x
_atom_site_fract_y
_atom_site_fract_z
Gd1 0.000 0.500 0.000
Dy1 0.000 0.000 0.500
Y1 0.500 0.500 0.500
# relative energy among the computed polymorphs: 3 meV/atom
# size of the total moment: 14.509 Bohr magnetons per cell
# energy relative to the elements: 29 meV per atom

---

What is the size of the total moment in the second record? 0.600 Bohr magnetons per cell

---

Number 7 is which compound? POsN

---

size of the total moment of number 4 (Pm2SmErTl4)? 0.000 Bohr magnetons per cell

---

What did the third record say?
# KPt, relaxed, DFT GGA-PBE
data_KPt
_cell_length_a 11.876
_cell_length_b 2.876
_cell_length_c 9.742
_cell_angle_alpha 90.00
_cell_angle_beta 118.55
_cell_angle_gamma 90.00
_symmetry_space_group_name_H-M 'C 1 m 1'
_symmetry_Int_Tables_number 8
loop_
_symmetry_equiv_pos_as_xyz
'x,y,z'
'x,-y,z'
'x+1/2,y+1/2,z'
'x+1/2,-y+1/2,z'
loop_
_atom_site_label
_atom_site_fract_x
_atom_site_fract_y
_atom_site_fract_z
K1 0.000 0.000 0.000
K2 0.070 0.000 0.380
K3 0.412 0.000 0.609
Pt1 0.215 0.500 0.746
Pt2 0.256 0.000 0.000
Pt3 0.270 0.500 0.243
# size of the total moment: 0.000 Bohr magnetons per cell
# energy relative to the elements: 48 meV per atom